3
Lattice="0.0000 3.4920 3.4920 3.4920 0.0000 3.4920 3.4920 3.4920 0.0000" Properties=species:S:1:pos:R:3 comment="PrNbSb (PBE, relaxed)" final_energy_ev_per_atom=-6.260 pbc="T T T"
Nb 1.7460 1.7460 1.7460
Pr 5.2379 5.2379 5.2379
Sb 0.0000 0.0000 0.0000

=====

3
Lattice="-4.8247 -1.8306 -0.0504 -3.9964 3.2624 -0.1283 -2.8675 0.4010 -4.2718" Properties=species:S:1:pos:R:3 comment="PrNbSb (PBE, relaxed)" final_energy_ev_per_atom=-5.595 pbc="T T T"
Nb -2.9221 0.4582 -1.1126
Pr 0.0000 0.0000 0.0000
Sb -8.7664 1.3746 -3.3378